Computed, not measured: a geometry-optimized NaCa9CoP7O28 structure at the PBE with a Hubbard U level of DFT.

a = 10.444 Å, b = 10.444 Å, c = 13.851 Å
α = 67.85°, β = 67.85°, γ = 60.00°
Fractional coordinates of all 92 atoms:
Na 0.311 0.311 0.067
Na 0.811 0.811 0.567
Ca 0.837 0.423 0.304
Ca 0.935 0.923 0.804
Ca 0.559 0.151 0.699
Ca 0.923 0.337 0.804
Ca 0.091 0.651 0.199
Ca 0.051 0.027 0.481
Ca 0.423 0.435 0.304
Ca 0.527 0.551 0.981
Ca 0.337 0.935 0.804
Ca 0.940 0.527 0.981
Ca 0.651 0.059 0.199
Ca 0.551 0.940 0.981
Ca 0.151 0.591 0.699
Ca 0.435 0.837 0.304
Ca 0.440 0.051 0.481
Ca 0.591 0.559 0.699
Ca 0.059 0.091 0.199
Ca 0.027 0.440 0.481
Co 0.997 0.997 0.008
Co 0.497 0.497 0.508
P 0.273 0.316 0.599
P 0.812 0.273 0.599
P 0.726 0.689 0.410
P 0.689 0.175 0.410
P 0.232 0.232 0.303
P 0.175 0.726 0.410
P 0.312 0.816 0.099
P 0.816 0.773 0.099
P 0.732 0.732 0.803
P 0.316 0.812 0.599
P 0.773 0.312 0.099
P 0.226 0.675 0.910
P 0.675 0.189 0.910
P 0.189 0.226 0.910
O 0.327 0.886 0.478
O 0.411 0.852 0.636
O 0.620 0.363 0.867
O 0.134 0.883 0.121
O 0.662 0.107 0.842
O 0.107 0.388 0.842
O 0.911 0.600 0.136
O 0.620 0.351 0.402
O 0.100 0.411 0.636
O 0.362 0.383 0.621
O 0.600 0.352 0.136
O 0.809 0.386 0.978
O 0.162 0.888 0.342
O 0.582 0.148 0.026
O 0.388 0.662 0.842
O 0.634 0.362 0.621
O 0.363 0.150 0.867
O 0.606 0.888 0.762
O 0.650 0.863 0.367
O 0.386 0.827 0.978
O 0.244 0.582 0.026
O 0.309 0.327 0.478
O 0.369 0.646 0.158
O 0.869 0.327 0.658
O 0.351 0.627 0.402
O 0.852 0.100 0.636
O 0.851 0.120 0.902
O 0.388 0.106 0.262
O 0.863 0.120 0.367
O 0.244 0.388 0.262
O 0.862 0.134 0.121
O 0.082 0.744 0.526
O 0.352 0.911 0.136
O 0.827 0.369 0.158
O 0.146 0.869 0.658
O 0.191 0.191 0.427
O 0.383 0.634 0.621
O 0.886 0.309 0.478
O 0.120 0.127 0.902
O 0.883 0.862 0.121
O 0.744 0.606 0.762
O 0.106 0.244 0.262
O 0.888 0.607 0.342
O 0.120 0.650 0.367
O 0.327 0.146 0.658
O 0.646 0.827 0.158
O 0.127 0.851 0.902
O 0.827 0.809 0.978
O 0.648 0.082 0.526
O 0.888 0.744 0.762
O 0.148 0.244 0.026
O 0.150 0.620 0.867
O 0.744 0.648 0.526
O 0.607 0.162 0.342
O 0.691 0.691 0.927
O 0.627 0.620 0.402

Output
For the total energy, the calculation gives -7.126 eV per atom.